1.
# NbNi4P16

A crystal of NbNi4P16 relaxed with PBEsol (meta-GGA SCAN, Alexandria via LeMat-Bulk).

Summary:
For the formation energy, the calculation gives -0.35 eV per atom. The space group is C2/c (15). Its total energy is -12.934 eV/atom.

a = 10.1892 Å, b = 10.1892 Å, c = 11.1040 Å
α = 100.27°, β = 100.27°, γ = 32.20°
With the nearest neighbours (Å) after each atom.
Positions (direct):
Nb 0.1054 0.8946 0.7500  8 P 2.50-2.55
Nb 0.8946 0.1054 0.2500  8 P 2.50-2.55
Ni 0.1946 0.3043 0.1298  6 P 2.20-2.37
Ni 0.2987 0.4866 0.4264  6 P 2.24-2.30
Ni 0.3043 0.1946 0.6298  6 P 2.20-2.37
Ni 0.4866 0.2987 0.9264  6 P 2.24-2.30
Ni 0.5134 0.7013 0.0736  6 P 2.24-2.30
Ni 0.6957 0.8054 0.3702  6 P 2.20-2.37
Ni 0.7013 0.5134 0.5736  6 P 2.24-2.30
Ni 0.8054 0.6957 0.8702  6 P 2.20-2.37
P 0.0566 0.3896 0.3126  2 P 2.22-2.24, 2 Ni 2.27-2.32
P 0.1041 0.1811 0.5422  2 Ni 2.20-2.24, 2 P 2.23-2.24
P 0.1219 0.1244 0.8385  3 P 2.23-2.24
P 0.1244 0.1219 0.3385  3 P 2.23-2.24
P 0.1591 0.7139 0.9197  2 P 2.24, 1 Ni 2.27
P 0.1811 0.1041 0.0422  2 Ni 2.20-2.24, 2 P 2.23-2.24
P 0.2204 0.3557 0.9477  1 P 2.22, 3 Ni 2.29-2.37
P 0.2293 0.4864 0.2206  2 Ni 2.21-2.27, 2 P 2.24
P 0.2380 0.7529 0.3947  2 P 2.24, 1 Ni 2.30
P 0.2471 0.7620 0.1053  2 P 2.24, 1 Ni 2.30
P 0.2861 0.8409 0.5803  2 P 2.24, 1 Ni 2.27
P 0.3557 0.2204 0.4477  1 P 2.22, 3 Ni 2.29-2.37
P 0.3860 0.4881 0.6307  2 P 2.24, 1 Ni 2.29
P 0.3896 0.0566 0.8126  2 P 2.22-2.24, 2 Ni 2.27-2.32
P 0.4864 0.2293 0.7206  2 Ni 2.21-2.27, 2 P 2.24
P 0.4881 0.3860 0.1307  2 P 2.24, 1 Ni 2.29
P 0.5119 0.6140 0.8693  2 P 2.24, 1 Ni 2.29
P 0.5136 0.7707 0.2794  2 Ni 2.21-2.27, 2 P 2.24
P 0.6104 0.9434 0.1874  2 P 2.22-2.24, 2 Ni 2.27-2.32
P 0.6140 0.5119 0.3693  2 P 2.24, 1 Ni 2.29
P 0.6443 0.7796 0.5523  1 P 2.22, 3 Ni 2.29-2.37
P 0.7139 0.1591 0.4197  2 P 2.24, 1 Ni 2.27
P 0.7529 0.2380 0.8947  2 P 2.24, 1 Ni 2.30
P 0.7620 0.2471 0.6053  2 P 2.24, 1 Ni 2.30
P 0.7707 0.5136 0.7794  2 Ni 2.21-2.27, 2 P 2.24
P 0.7796 0.6443 0.0523  1 P 2.22, 3 Ni 2.29-2.37
P 0.8189 0.8959 0.9578  2 Ni 2.20-2.24, 2 P 2.23-2.24
P 0.8409 0.2861 0.0803  2 P 2.24, 1 Ni 2.27
P 0.8756 0.8781 0.6615  3 P 2.23-2.24
P 0.8781 0.8756 0.1615  3 P 2.23-2.24
P 0.8959 0.8189 0.4578  2 Ni 2.20-2.24, 2 P 2.23-2.24
P 0.9434 0.6104 0.6874  2 P 2.22-2.24, 2 Ni 2.27-2.32

***

2.
# CuAu2Se

A crystal of CuAu2Se relaxed with PBEsol (meta-GGA SCAN, Alexandria via LeMat-Bulk).

Summary:
The space group is Cm (8). Its total energy is -43.341 eV/atom.

a = 4.7019 Å, b = 4.7019 Å, c = 6.0711 Å
α = 98.48°, β = 98.48°, γ = 34.35°
With the nearest neighbours (Å) after each atom.
Positions (direct):
Cu 0.0000 0.0000 0.0000  2 Se 2.42, 5 Au 2.61-2.71
Au 0.4996 0.4996 0.3828  1 Se 2.54, 2 Cu 2.71, 3 Au 2.72-2.78
Au 0.7390 0.7390 0.1580  3 Cu 2.61-2.67, 5 Au 2.72-2.88
Se 0.3587 0.3587 0.7144  2 Cu 2.42, 1 Au 2.54

***

3.
# CrSb2RhI

A crystal of CrSb2RhI relaxed with PBEsol (meta-GGA SCAN, Alexandria via LeMat-Bulk).

Summary:
The space group is P4/mmm (123). Its total energy is -31.733 eV/atom.

a = 4.8782 Å, b = 4.8782 Å, c = 5.1300 Å
α = 90.00°, β = 90.00°, γ = 90.00°
With the nearest neighbours (Å) after each atom.
Positions (direct):
Cr 0.0000 0.0000 0.0000  4 Sb 2.44, 2 I 2.56
Sb 0.0000 0.5000 0.0000  2 Cr 2.44
Sb 0.5000 0.0000 0.0000  2 Cr 2.44
Rh 0.5000 0.5000 0.5000  4 I 3.45, 8 Sb 3.54
I 0.0000 0.0000 0.5000  2 Cr 2.56

***

4.
# LiTl2In

A crystal of LiTl2In relaxed with PBEsol (meta-GGA SCAN, Alexandria via LeMat-Bulk).

Summary:
For the formation energy, the calculation gives -0.09 eV per atom. The space group is P2/m (10). Its total energy is -45.218 eV/atom.

a = 3.3773 Å, b = 4.7837 Å, c = 6.2659 Å
α = 90.00°, β = 101.44°, γ = 90.00°
With the nearest neighbours (Å) after each atom.
Positions (direct):
Li 0.0000 0.0000 0.0000  4 Tl 3.02, 2 In 3.25, 2 Li 3.38
Tl 0.2380 0.5000 0.7586  2 Li 3.02, 2 In 3.11, 4 Tl 3.19-3.38
Tl 0.7620 0.5000 0.2414  2 Li 3.02, 2 In 3.11, 4 Tl 3.19-3.38
In 0.5000 0.0000 0.5000  4 Tl 3.11, 2 Li 3.25, 2 In 3.38

***

5.
# Tb5BiPd2

A crystal of Tb5BiPd2 relaxed with PBEsol (meta-GGA SCAN, Alexandria via LeMat-Bulk).

Summary:
For the formation energy, the calculation gives -0.80 eV per atom. The space group is I4/mcm (140). Its total energy is -48.041 eV/atom.

a = 8.6768 Å, b = 8.6768 Å, c = 8.6768 Å
α = 126.82°, β = 126.82°, γ = 78.54°
With the nearest neighbours (Å) after each atom.
Positions (direct):
Tb 0.0000 0.0000 0.0000  4 Pd 3.02, 2 Bi 3.36
Tb 0.0153 0.5153 0.8106  3 Pd 2.94-2.97, 2 Bi 3.29
Tb 0.2048 0.0153 0.5000  3 Pd 2.94-2.97, 2 Bi 3.29
Tb 0.2952 0.7952 0.8106  3 Pd 2.94-2.97, 2 Bi 3.29
Tb 0.4847 0.2952 0.5000  3 Pd 2.94-2.97, 2 Bi 3.29
Tb 0.5000 0.5000 0.0000  4 Pd 3.02, 2 Bi 3.36
Tb 0.5153 0.7048 0.5000  3 Pd 2.94-2.97, 2 Bi 3.29
Tb 0.7048 0.2048 0.1894  3 Pd 2.94-2.97, 2 Bi 3.29
Tb 0.7952 0.9847 0.5000  3 Pd 2.94-2.97, 2 Bi 3.29
Tb 0.9847 0.4847 0.1894  3 Pd 2.94-2.97, 2 Bi 3.29
Bi 0.2500 0.2500 0.0000  10 Tb 3.29-3.36
Bi 0.7500 0.7500 0.0000  10 Tb 3.29-3.36
Pd 0.1351 0.3649 0.5000  8 Tb 2.94-3.02, 1 Pd 2.97
Pd 0.3649 0.8649 0.2299  8 Tb 2.94-3.02, 1 Pd 2.97
Pd 0.6351 0.1351 0.7701  8 Tb 2.94-3.02, 1 Pd 2.97
Pd 0.8649 0.6351 0.5000  8 Tb 2.94-3.02, 1 Pd 2.97

***

6.
# OsSe2Cl

A crystal of OsSe2Cl relaxed with PBEsol (meta-GGA SCAN, Alexandria via LeMat-Bulk).

Summary:
The space group is R-3m (166). Its total energy is -29.950 eV/atom. As for the excess energy over the best structure of this formula in the dataset: 0.00 kcal/mol of atoms.

a = 7.5260 Å, b = 7.5260 Å, c = 7.5260 Å
α = 26.92°, β = 26.92°, γ = 26.92°
With the nearest neighbours (Å) after each atom.
Positions (direct):
Os 0.0000 0.0000 0.0000  6 Se 2.49
Se 0.2666 0.2666 0.2666  3 Os 2.49
Se 0.7334 0.7334 0.7334  3 Os 2.49
Cl 0.5000 0.5000 0.5000  6 Se 2.97